A plane-wave DFT calculation with PBE was carried out for a relaxed SmMg8Zn4 crystal.

Output
- Crystal system: tetragonal
- Mass density: 3.8 g/cm3
- Polymorph energy (0 for the lowest one): 0.63 eV per formula unit
- Space-group type: No. 139

POSCAR file:
```
SmMg8Zn4
1.0
-4.837 4.837 2.842
4.837 -4.837 2.842
4.837 4.837 -2.842
Zn Mg Sm
4 8 1
Direct
0.292 0.500 0.792
0.500 0.292 0.792
0.708 0.500 0.208
0.500 0.708 0.208
0.649 0.000 0.649
0.500 0.000 0.000
0.351 0.000 0.351
0.000 0.000 0.500
0.000 0.649 0.649
0.000 0.500 0.000
0.500 0.500 0.500
0.000 0.351 0.351
0.000 0.000 0.000
```